Entry from the Alexandria database: crystalline AlTe2Cl at its relaxed geometry (GGA-PBE).

It has space group Imm2 (No. 44), with a = 3.750 Å, b = 7.334 Å, c = 9.268 Å, α = 90.00°, β = 90.00° and γ = 90.00°. The distinct sites, in fractional coordinates, are Al at (0.000, 0.000, 0.000), Te at (0.000, 0.000, 0.531), Te at (0.000, 0.500, 0.268) and Cl at (0.000, 0.500, 0.666).

The value obtained for the formation energy from raw total energies is -12.4 kJ per mole of atoms. For the total DFT energy (no corrections), the calculation gives -3.097 eV per atom. The value obtained for the offset from the most stable computed form is 41.9 kJ/mol of atoms.